This record from Alexandria describes an optimized crystal structure of CePm3Y2S6. The functional is PBE.

a = 6.9157 Å, b = 6.9157 Å, c = 6.9262 Å
α = 99.62°, β = 99.62°, γ = 120.11°
Last column: nearest neighbours and their distance in Å.
Fractional coordinates of all 12 atoms:
Ce 0.0000 0.0000 0.0000  6 S 2.82
Pm 0.1664 0.8336 0.5000  6 S 2.83-2.87
Pm 0.5000 0.5000 0.5000  6 S 2.83-2.86
Pm 0.8336 0.1664 0.5000  6 S 2.83-2.87
Y 0.3329 0.6671 0.0000  6 S 2.78
Y 0.6671 0.3329 0.0000  6 S 2.78
S 0.0809 0.4188 0.2425  2 Y 2.78, 1 Ce 2.82, 3 Pm 2.83-2.87
S 0.2576 0.2576 0.7582  2 Y 2.78, 1 Ce 2.82, 3 Pm 2.83-2.86
S 0.4188 0.0809 0.2425  2 Y 2.78, 1 Ce 2.82, 3 Pm 2.83-2.87
S 0.5812 0.9191 0.7575  2 Y 2.78, 1 Ce 2.82, 3 Pm 2.83-2.87
S 0.7424 0.7424 0.2418  2 Y 2.78, 1 Ce 2.82, 3 Pm 2.83-2.86
S 0.9191 0.5812 0.7575  2 Y 2.78, 1 Ce 2.82, 3 Pm 2.83-2.87

Output
As for the space group: C2/m, No. 12. Its density of states at the Fermi level is 8.38 states/eV/f.u. The crystal system is monoclinic. The calculation puts the formation energy from raw total energies at -2.0291 eV per atom. For the electronic total energy, the calculation gives -6.852 eV per atom.

This record from Alexandria describes an optimized crystal structure of ZrMo2Pt. The functional is PBE.

a = 2.7759 Å, b = 2.7759 Å, c = 8.9093 Å
α = 90.00°, β = 90.00°, γ = 90.00°
Last column: nearest neighbours and their distance in Å.
Fractional coordinates of all 4 atoms:
Zr 0.0000 0.0000 0.0000  4 Zr 2.78
Mo 0.5000 0.5000 0.2716  4 Mo 2.78, 4 Pt 2.83
Mo 0.5000 0.5000 0.7284  4 Mo 2.78, 4 Pt 2.83
Pt 0.0000 0.0000 0.5000  4 Pt 2.78, 8 Mo 2.83

Output
As for the space group: P4/mmm, No. 123. The energy above the most stable polymorph in this dataset is 0.964 eV per formula unit. Its density of states at the Fermi level is 4.36 states/eV/f.u. The calculation puts the formation energy at -0.029 eV/atom. The crystal system is tetragonal. For the electronic total energy, the calculation gives -9.092 eV per atom.

This record from Alexandria describes an optimized crystal structure of ScPa2S3. The functional is PBE.

a = 6.5302 Å, b = 6.5302 Å, c = 6.8480 Å
α = 99.18°, β = 99.18°, γ = 120.55°
Last column: nearest neighbours and their distance in Å.
Fractional coordinates of all 12 atoms:
Sc 0.1670 0.8330 0.0000  6 S 2.62-2.63
Sc 0.8330 0.1670 0.0000  6 S 2.62-2.63
Pa 0.0000 0.0000 0.5000  6 S 2.73-2.79
Pa 0.3358 0.6642 0.5000  6 S 2.73-2.79
Pa 0.5000 0.5000 0.0000  6 S 2.70-2.71
Pa 0.6642 0.3358 0.5000  6 S 2.73-2.79
S 0.0777 0.4216 0.7640  2 Sc 2.62-2.63, 4 Pa 2.71-2.79
S 0.2332 0.2332 0.2320  2 Sc 2.62, 4 Pa 2.70-2.79
S 0.4216 0.0777 0.7640  2 Sc 2.62-2.63, 4 Pa 2.71-2.79
S 0.5784 0.9223 0.2360  2 Sc 2.62-2.63, 4 Pa 2.71-2.79
S 0.7668 0.7668 0.7680  2 Sc 2.62, 4 Pa 2.70-2.79
S 0.9223 0.5784 0.2360  2 Sc 2.62-2.63, 4 Pa 2.71-2.79

Output
As for the space group: C2/m, No. 12. Its density of states at the Fermi level is 6.98 states/eV/f.u. The crystal system is monoclinic. The calculation puts the formation energy from raw total energies at -1.6684 eV per atom. For the electronic total energy, the calculation gives -7.953 eV per atom.

This record from Alexandria describes an optimized crystal structure of SiRu2W. The functional is PBE.

a = 2.7785 Å, b = 2.7785 Å, c = 25.5781 Å
α = 90.00°, β = 90.00°, γ = 120.00°
Last column: nearest neighbours and their distance in Å.
Fractional coordinates of all 12 atoms:
Si 0.0000 0.0000 0.0000  3 Ru 2.49, 3 W 2.70, 6 Si 2.78
Si 0.3333 0.6667 0.6667  3 Ru 2.49, 3 W 2.70, 6 Si 2.78
Si 0.6667 0.3333 0.3333  3 Ru 2.49, 3 W 2.70, 6 Si 2.78
Ru 0.0000 0.0000 0.2588  3 Si 2.49, 9 Ru 2.78
Ru 0.0000 0.0000 0.5032  3 W 2.70, 9 Ru 2.78
Ru 0.3333 0.6667 0.1699  3 W 2.70, 9 Ru 2.78
Ru 0.3333 0.6667 0.9255  3 Si 2.49, 9 Ru 2.78
Ru 0.6667 0.3333 0.5921  3 Si 2.49, 9 Ru 2.78
Ru 0.6667 0.3333 0.8365  3 W 2.70, 9 Ru 2.78
W 0.0000 0.0000 0.7516  3 Ru 2.70, 3 Si 2.70, 6 W 2.78
W 0.3333 0.6667 0.4183  3 Ru 2.70, 3 Si 2.70, 6 W 2.78
W 0.6667 0.3333 0.0850  3 Ru 2.70, 3 Si 2.70, 6 W 2.78

Output
As for the space group: R3m, No. 160. Its density of states at the Fermi level is 3.06 states/eV/f.u. The crystal system is trigonal. The calculation puts the formation energy from raw total energies at -0.0076 eV per atom. For the electronic total energy, the calculation gives -9.240 eV per atom.

This record from Alexandria describes an optimized crystal structure of La8GeTe4As3. The functional is PBE.

a = 9.0559 Å, b = 9.0559 Å, c = 9.0559 Å
α = 58.96°, β = 58.96°, γ = 58.96°
Last column: nearest neighbours and their distance in Å.
Fractional coordinates of all 16 atoms:
La 0.2414 0.2414 0.2414  3 As 3.07, 3 Te 3.29
La 0.2430 0.7409 0.7409  1 Ge 3.06, 2 As 3.08, 3 Te 3.29-3.30
La 0.2591 0.2591 0.7570  1 Ge 3.06, 2 As 3.08, 3 Te 3.29-3.30
La 0.2591 0.7570 0.2591  1 Ge 3.06, 2 As 3.08, 3 Te 3.29-3.30
La 0.7409 0.2430 0.7409  1 Ge 3.06, 2 As 3.08, 3 Te 3.29-3.30
La 0.7409 0.7409 0.2430  1 Ge 3.06, 2 As 3.08, 3 Te 3.29-3.30
La 0.7570 0.2591 0.2591  1 Ge 3.06, 2 As 3.08, 3 Te 3.29-3.30
La 0.7586 0.7586 0.7586  3 As 3.07, 3 Te 3.29
Ge 0.5000 0.5000 0.5000  6 La 3.06
Te 0.0000 0.0000 0.0000  6 La 3.30
Te 0.0000 0.5000 0.5000  6 La 3.29
Te 0.5000 0.0000 0.5000  6 La 3.29
Te 0.5000 0.5000 0.0000  6 La 3.29
As 0.0000 0.0000 0.5000  6 La 3.07-3.08
As 0.0000 0.5000 0.0000  6 La 3.07-3.08
As 0.5000 0.0000 0.0000  6 La 3.07-3.08

Output
As for the space group: R-3m, No. 166. Its density of states at the Fermi level is 5.35 states/eV/f.u. The crystal system is trigonal. The calculation puts the formation energy from raw total energies at -1.5670 eV per atom. For the electronic total energy, the calculation gives -5.977 eV per atom.

This record from Alexandria describes an optimized crystal structure of BaAcAu2. The functional is PBE.

a = 7.9228 Å, b = 7.9228 Å, c = 7.9228 Å
α = 90.00°, β = 90.00°, γ = 90.00°
Last column: nearest neighbours and their distance in Å.
Fractional coordinates of all 16 atoms:
Ba 0.0000 0.0000 0.0000  8 Au 3.43
Ba 0.0000 0.5000 0.5000  8 Au 3.43
Ba 0.5000 0.0000 0.5000  8 Au 3.43
Ba 0.5000 0.5000 0.0000  8 Au 3.43
Ac 0.0000 0.0000 0.5000  8 Au 3.43
Ac 0.0000 0.5000 0.0000  8 Au 3.43
Ac 0.5000 0.0000 0.0000  8 Au 3.43
Ac 0.5000 0.5000 0.5000  8 Au 3.43
Au 0.2500 0.2500 0.2500  4 Ba 3.43, 4 Ac 3.43
Au 0.2500 0.2500 0.7500  4 Ba 3.43, 4 Ac 3.43
Au 0.2500 0.7500 0.2500  4 Ba 3.43, 4 Ac 3.43
Au 0.2500 0.7500 0.7500  4 Ba 3.43, 4 Ac 3.43
Au 0.7500 0.2500 0.2500  4 Ba 3.43, 4 Ac 3.43
Au 0.7500 0.2500 0.7500  4 Ba 3.43, 4 Ac 3.43
Au 0.7500 0.7500 0.2500  4 Ba 3.43, 4 Ac 3.43
Au 0.7500 0.7500 0.7500  4 Ba 3.43, 4 Ac 3.43

Output
As for the space group: Fm-3m, No. 225. The energy above the most stable polymorph in this dataset is 0.233 eV per formula unit. Its density of states at the Fermi level is 4.18 states/eV/f.u. The calculation puts the formation energy at -0.682 eV/atom. The crystal system is cubic. For the electronic total energy, the calculation gives -3.828 eV per atom.

This record from Alexandria describes an optimized crystal structure of U2GaOs. The functional is PBE.

a = 3.7248 Å, b = 3.7248 Å, c = 5.6901 Å
α = 90.00°, β = 90.00°, γ = 90.00°
Last column: nearest neighbours and their distance in Å.
Fractional coordinates of all 4 atoms:
U 0.0000 0.0000 0.2425  2 U 2.76-2.93, 4 Os 2.97, 4 Ga 3.01
U 0.0000 0.0000 0.7575  2 U 2.76-2.93, 4 Os 2.97, 4 Ga 3.01
Ga 0.5000 0.5000 0.5000  2 Os 2.85, 8 U 3.01
Os 0.5000 0.5000 0.0000  2 Ga 2.85, 8 U 2.97

Output
As for the space group: P4/mmm, No. 123. Its density of states at the Fermi level is 6.12 states/eV/f.u. The calculation puts the formation energy at -0.051 eV/atom. The crystal system is tetragonal. For the electronic total energy, the calculation gives -9.259 eV per atom.

This record from Alexandria describes an optimized crystal structure of P2IrSe. The functional is PBE.

a = 3.4814 Å, b = 3.4814 Å, c = 19.0191 Å
α = 90.00°, β = 90.00°, γ = 120.00°
Last column: nearest neighbours and their distance in Å.
Fractional coordinates of all 12 atoms:
P 0.0000 0.0000 0.2384  3 Ir 2.43, 3 Se 2.70
P 0.0000 0.0000 0.7616  3 Ir 2.43, 3 Se 2.70
P 0.3333 0.6667 0.4283  3 Ir 2.43, 3 Se 2.70
P 0.3333 0.6667 0.9051  3 Ir 2.43, 3 Se 2.70
P 0.6667 0.3333 0.0949  3 Ir 2.43, 3 Se 2.70
P 0.6667 0.3333 0.5717  3 Ir 2.43, 3 Se 2.70
Ir 0.0000 0.0000 0.5000  6 P 2.43
Ir 0.3333 0.6667 0.1667  6 P 2.43
Ir 0.6667 0.3333 0.8333  6 P 2.43
Se 0.0000 0.0000 0.0000  6 P 2.70
Se 0.3333 0.6667 0.6667  6 P 2.70
Se 0.6667 0.3333 0.3333  6 P 2.70

Output
As for the space group: R-3m, No. 166. Its density of states at the Fermi level is 2.11 states/eV/f.u. The crystal system is trigonal. The calculation puts the formation energy from raw total energies at 0.0486 eV per atom. For the electronic total energy, the calculation gives -5.743 eV per atom.